Entry 1:
The following is a DFT calculation (GGA-PBE) of a geometry-optimized CePmPaSn structure.

The density of states at the Fermi level is 9.485 states/eV/f.u. The calculation puts the total energy at -6.059 eV per atom. Its magnetic moment is 0.64 μB/atom. As for the calculated formation energy: -0.01 eV per atom.

The structure belongs to space group F-43m (No. 216); the cell edges are 7.6234, 7.6234 and 7.6234 Å and the angles 90.00°, 90.00° and 90.00°. The distinct sites, in fractional coordinates, are Ce at (0.0000, 0.0000, 0.0000), Pm at (0.0000, 0.0000, 0.5000), Pa at (0.2500, 0.2500, 0.2500) and Sn at (0.2500, 0.2500, 0.7500).


Entry 2:
The following is a DFT calculation (GGA-PBE) of a geometry-optimized Ca2Sm2In3 structure.

The density of states at the Fermi level is 7.307 states/eV/f.u. The calculation puts the total energy at -3.468 eV per atom. Its magnetic moment is 0.00 μB/atom. As for the calculated formation energy: -0.37 eV per atom.

The structure belongs to space group Cmmm (No. 65); the cell edges are 3.6673, 32.7860 and 3.5356 Å and the angles 90.00°, 90.00° and 90.00°. The distinct sites, in fractional coordinates, are Ca at (0.0000, 0.1971, 0.0000), Sm at (0.0000, 0.0662, 0.0000), In at (0.0000, 0.3673, 0.5000) and In at (0.0000, 0.5000, 0.5000).


Entry 3:
The following is a DFT calculation (GGA-PBE) of a geometry-optimized Tl6SiAu4 structure.

For the energy relative to the elements, uncorrected, the calculation gives -0.026 eV/atom. The density of states at the Fermi level is 3.154 states/eV/f.u. The calculation puts the total energy at -3.002 eV per atom. Its magnetic moment is 0.00 μB/atom.

The structure belongs to space group P6_3mc (No. 186); the cell edges are 9.5301, 9.5301 and 7.4148 Å and the angles 90.00°, 90.00° and 120.00°. The distinct sites, in fractional coordinates, are Tl at (0.0678, 0.5339, 0.0000), Tl at (0.1297, 0.2595, 0.3161), Si at (0.3333, 0.6667, 0.5989), Au at (0.1930, 0.3859, 0.7027) and Au at (0.3333, 0.6667, 0.2768).


Entry 4:
The following is a DFT calculation (GGA-PBE) of a geometry-optimized PrTmPt structure.

The density of states at the Fermi level is 2.594 states/eV/f.u. The energy above the most stable polymorph in this dataset comes out at 227 meV/atom. The calculation puts the total energy at -5.770 eV per atom. Its magnetic moment is 0.00 μB/atom. As for the calculated formation energy: -0.67 eV per atom.

The structure belongs to space group P3m1 (No. 156); the cell edges are 4.6579, 4.6579 and 4.3293 Å and the angles 90.00°, 90.00° and 120.00°. The distinct sites, in fractional coordinates, are Pr at (0.0000, 0.0000, 0.0000), Tm at (0.3333, 0.6667, 0.4888) and Pt at (0.6667, 0.3333, 0.6440).


Q: magnetic moment of number 4 (PrTmPt)?
A: 0.00 μB/atom